A plane-wave DFT calculation with PBEsol was carried out for IrRu2Pt after structural relaxation.

Properties
V   13.89 Å³/atom
Energy above the most stable polymorph in this dataset   37 meV per atom
Formation energy   0.050 eV per atom

The structure in POSCAR format:
```
IrRu2Pt
1.0
4.490 -1.346 0.000
4.490 1.346 0.000
-0.795 0.000 4.598
Ir Ru Pt
1 2 1
direct
0.000 0.000 0.000
0.253 0.253 0.758
0.747 0.747 0.242
0.500 0.500 0.500
```

A plane-wave DFT calculation with PBEsol was carried out for IrRu2Pt after structural relaxation.

Properties
V   13.88 Å³/atom
Energy above the most stable polymorph in this dataset   9 meV per atom
Formation energy   0.022 eV per atom

The structure in POSCAR format:
```
IrRu2Pt
1.0
4.483 -1.344 0.000
4.483 1.344 0.000
-0.796 0.000 4.607
Ir Ru Pt
1 2 1
direct
0.000 0.000 0.000
0.492 0.492 0.483
0.747 0.747 0.243
0.245 0.245 0.739
```

A plane-wave DFT calculation with PBEsol was carried out for IrRu2Pt after structural relaxation.

Properties
V   13.86 Å³/atom
Energy above the most stable polymorph in this dataset   13 meV per atom
Formation energy   0.026 eV per atom

The structure in POSCAR format:
```
IrRu2Pt
1.0
-1.903 1.903 3.827
1.903 -1.903 3.827
1.903 1.903 -3.827
Ir Ru Pt
1 2 1
direct
0.000 0.000 0.000
0.500 0.500 0.000
0.750 0.250 0.500
0.250 0.750 0.500
```

A plane-wave DFT calculation with PBEsol was carried out for IrRu2Pt after structural relaxation.

Properties
V   13.89 Å³/atom
Energy above the most stable polymorph in this dataset   10 meV per atom
Formation energy   0.023 eV per atom

The structure in POSCAR format:
```
IrRu2Pt
1.0
2.689 0.000 0.000
0.000 2.689 0.000
0.000 0.000 7.679
Ir Ru Pt
1 2 1
direct
0.000 0.000 0.000
0.000 0.000 0.520
0.500 0.500 0.757
0.500 0.500 0.264
```

A plane-wave DFT calculation with PBEsol was carried out for SbIrPt after structural relaxation.

Properties
Formation energy from raw total energies   0.3245 eV/atom
V   19.15 Å³/atom
Energy above the most stable polymorph in this dataset   209 meV per atom

The structure in POSCAR format:
```
SbIrPt
1.0
0.000 3.063 3.063
3.063 0.000 3.063
3.063 3.063 0.000
Sb Ir Pt
1 1 1
direct
0.000 0.000 0.000
0.500 0.500 0.500
0.750 0.750 0.750
```

A plane-wave DFT calculation with PBEsol was carried out for SbIrPt after structural relaxation.

Properties
Formation energy from raw total energies   0.1154 eV/atom
V   17.36 Å³/atom
Energy above the most stable polymorph in this dataset   0 meV per atom

The structure in POSCAR format:
```
SbIrPt
1.0
4.237 0.000 0.000
-2.118 3.669 0.000
0.000 0.000 3.350
Sb Ir Pt
1 1 1
direct
0.000 0.000 0.000
0.333 0.667 0.228
0.667 0.333 0.680
```

A plane-wave DFT calculation with PBEsol was carried out for SbIr2Pt after structural relaxation.

Properties
Formation energy from raw total energies   0.3712 eV/atom
V   16.21 Å³/atom

The structure in POSCAR format:
```
SbIr2Pt
1.0
1.458 0.842 8.799
-1.458 0.842 8.799
0.000 -1.684 8.799
Sb Ir Pt
1 2 1
direct
0.000 0.000 0.000
0.248 0.248 0.248
0.503 0.503 0.503
0.754 0.754 0.754
```

A plane-wave DFT calculation with PBEsol was carried out for SbIr2Pt after structural relaxation.

Properties
Formation energy from raw total energies   0.1874 eV/atom
V   15.95 Å³/atom

The structure in POSCAR format:
```
SbIr2Pt
1.0
4.407 -1.519 0.000
4.407 1.519 0.000
-1.039 0.000 4.767
Sb Ir Pt
1 2 1
direct
0.000 0.000 0.000
0.253 0.253 0.740
0.747 0.747 0.260
0.500 0.500 0.500
```

A plane-wave DFT calculation with PBEsol was carried out for SbIr2Pt after structural relaxation.

Properties
Formation energy from raw total energies   0.2228 eV/atom
V   16.07 Å³/atom

The structure in POSCAR format:
```
SbIr2Pt
1.0
2.901 0.000 0.000
0.000 3.897 0.000
0.000 0.000 5.687
Sb Ir Pt
1 2 1
direct
0.000 0.000 0.000
0.000 0.000 0.487
0.500 0.500 0.265
0.500 0.500 0.729
```

A plane-wave DFT calculation with PBEsol was carried out for SbIr2Pt after structural relaxation.

Properties
Formation energy from raw total energies   0.3230 eV/atom
V   15.93 Å³/atom

The structure in POSCAR format:
```
SbIr2Pt
1.0
2.965 0.000 0.000
0.000 2.965 0.000
0.000 0.000 7.247
Sb Ir Pt
1 2 1
direct
0.000 0.000 0.000
0.500 0.500 0.251
0.500 0.500 0.749
0.000 0.000 0.500
```

A plane-wave DFT calculation with PBEsol was carried out for SbIr2Pt after structural relaxation.

Properties
Formation energy from raw total energies   0.5488 eV/atom
V   16.38 Å³/atom

The structure in POSCAR format:
```
SbIr2Pt
1.0
1.408 -2.478 0.000
1.408 2.478 0.000
0.000 0.000 9.389
Sb Ir Pt
1 2 1
direct
0.000 0.000 0.000
0.500 0.500 0.258
0.500 0.500 0.742
0.000 0.000 0.500
```

A plane-wave DFT calculation with PBEsol was carried out for Sb3IrPt after structural relaxation.

Properties
Formation energy from raw total energies   1.0611 eV/atom
V   25.70 Å³/atom

The structure in POSCAR format:
```
Sb3IrPt
1.0
5.046 0.000 0.000
0.000 5.046 0.000
0.000 0.000 5.046
Sb Ir Pt
3 1 1
direct
0.000 0.000 0.500
0.000 0.500 0.000
0.500 0.000 0.000
0.500 0.500 0.500
0.000 0.000 0.000
```